Entry 1:
The following is a DFT calculation (PBE) of a relaxed structure of HfAgOF2.

a b c (Å): 4.316 4.316 4.108
angles (deg): 90.00 90.00 90.00
Space group P4/mmm (No. 123)
Symmetry-distinct sites (fractional):
Hf 0.000 0.000 0.000 (multiplicity 1)
Ag 0.500 0.500 0.500 (multiplicity 1)
O 0.500 0.500 0.000 (multiplicity 1)
F 0.000 0.500 0.500 (multiplicity 2)

Output
E above lowest polymorph = 1.850 eV per atom


Entry 2:
The following is a DFT calculation (PBE) of a relaxed structure of Tl5GaI7.

a b c (Å): 4.660 16.517 29.202
angles (deg): 90.00 90.00 90.00
Space group Cmc2_1 (No. 36)
Symmetry-distinct sites (fractional):
Tl 0.000 0.000 0.000 (multiplicity 4)
Tl 0.000 0.278 0.425 (multiplicity 4)
Tl 0.000 0.279 0.076 (multiplicity 4)
Tl 0.000 0.456 0.657 (multiplicity 4)
Tl 0.000 0.456 0.844 (multiplicity 4)
Ga 0.000 0.220 0.750 (multiplicity 4)
I 0.000 0.082 0.610 (multiplicity 4)
I 0.000 0.083 0.889 (multiplicity 4)
I 0.000 0.195 0.182 (multiplicity 4)
I 0.000 0.195 0.318 (multiplicity 4)
I 0.000 0.362 0.540 (multiplicity 4)
I 0.000 0.363 0.960 (multiplicity 4)
I 0.000 0.413 0.250 (multiplicity 4)

Output
Total energy = -2.50 eV/atom


Entry 3:
The following is a DFT calculation (PBE) of a relaxed structure of Pm2Cd3Ag2.

a b c (Å): 10.636 4.341 7.511
angles (deg): 90.00 94.70 90.00
Space group C2/m (No. 12)
Symmetry-distinct sites (fractional):
Pm 0.122 0.000 0.330 (multiplicity 4)
Cd 0.000 0.500 0.000 (multiplicity 2)
Cd 0.188 0.000 0.872 (multiplicity 4)
Ag 0.091 0.500 0.643 (multiplicity 4)

Output
E above lowest polymorph = 0.054 eV per atom
DFT formation energy = -1.67 eV per formula unit


Entry 4:
The following is a DFT calculation (PBE) of a relaxed structure of LiSmCd4Ag2.

a b c (Å): 4.9195 4.9195 24.2997
angles (deg): 90.00 90.00 120.00
Space group R-3m (No. 166, hexagonal axes)
Symmetry-distinct sites (fractional):
Li 0.0000 0.0000 0.0000 (multiplicity 3)
Sm 0.0000 0.0000 0.5000 (multiplicity 3)
Cd 0.0000 0.0000 0.1129 (multiplicity 6)
Cd 0.0000 0.0000 0.3683 (multiplicity 6)
Ag 0.0000 0.0000 0.2468 (multiplicity 6)

Output
DFT formation energy = -1.65 eV per formula unit


Entry 5:
The following is a DFT calculation (PBE) of a relaxed structure of DyPaGa2.

a b c (Å): 7.140 7.140 7.140
angles (deg): 90.00 90.00 90.00
Space group Fm-3m (No. 225)
Symmetry-distinct sites (fractional):
Dy 0.000 0.000 0.000 (multiplicity 4)
Pa 0.000 0.000 0.500 (multiplicity 4)
Ga 0.250 0.250 0.250 (multiplicity 8)

Output
E above lowest polymorph = 0.093 eV per atom
DFT formation energy = -1.19 eV per formula unit


Entry 6:
The following is a DFT calculation (PBE) of a relaxed structure of Pu3W2N6.

a b c (Å): 3.982 3.982 18.873
angles (deg): 90.00 90.00 90.00
Space group I4/mmm (No. 139)
Symmetry-distinct sites (fractional):
Pu 0.000 0.000 0.000 (multiplicity 2)
Pu 0.000 0.000 0.179 (multiplicity 4)
W 0.000 0.000 0.401 (multiplicity 4)
N 0.000 0.000 0.299 (multiplicity 4)
N 0.000 0.500 0.085 (multiplicity 8)

Output
Total energy = -11.71 eV/atom


Entry 7:
The following is a DFT calculation (PBE) of a relaxed structure of Y4AlTe2Se.

a b c (Å): 7.424 4.178 7.551
angles (deg): 90.00 108.53 90.00
Space group P2/m (No. 10)
Symmetry-distinct sites (fractional):
Y 0.241 0.000 0.230 (multiplicity 2)
Y 0.254 0.500 0.776 (multiplicity 2)
Al 0.000 0.500 0.000 (multiplicity 1)
Te 0.000 0.000 0.500 (multiplicity 1)
Te 0.500 0.500 0.500 (multiplicity 1)
Se 0.500 0.000 0.000 (multiplicity 1)

Output
Total energy = -6.13 eV/atom


Entry 8:
The following is a DFT calculation (PBE) of a relaxed structure of Cs3NpSe3.

a b c (Å): 9.555 14.438 9.438
angles (deg): 90.00 110.78 90.00
Space group C2/m (No. 12)
Symmetry-distinct sites (fractional):
Cs 0.000 0.176 0.000 (multiplicity 4)
Cs 0.000 0.298 0.500 (multiplicity 4)
Cs 0.105 0.500 0.872 (multiplicity 4)
Np 0.105 0.000 0.608 (multiplicity 4)
Se 0.167 0.000 0.340 (multiplicity 4)
Se 0.232 0.359 0.222 (multiplicity 8)

Output
Total energy = -4.80 eV/atom


Entry 9:
The following is a DFT calculation (PBE) of a relaxed structure of NdNb2Fe.

a b c (Å): 3.0332 3.0332 30.1621
angles (deg): 90.00 90.00 120.00
Space group R-3m (No. 166, hexagonal axes)
Symmetry-distinct sites (fractional):
Nd 0.0000 0.0000 0.0000 (multiplicity 3)
Nb 0.0000 0.0000 0.1015 (multiplicity 6)
Fe 0.0000 0.0000 0.5000 (multiplicity 3)

Output
DFT formation energy = 2.44 eV per formula unit


no.,total magnetization (Bohr magnetons per cell)
1,0.0
2,0.0
3,0.0
4,0.0
5,3.6
6,30.4
7,0.0
8,3.8
9,4.0